First-principles (PBEsol) data for an optimized crystal structure of KMgB3, as listed in Alexandria.

Structure (POSCAR):
```
KMgB3
1.0
-4.078 0.801 1.790
-1.959 -1.458 -3.810
-0.097 -4.208 1.661
B Mg K
3 1 1
direct
0.000 0.500 0.000
0.500 0.000 0.000
0.000 0.000 0.500
0.000 0.000 0.000
0.500 0.500 0.500
```

Calculated values
**Electronic total energy**: -2.77 eV per atom
**Magnetization**: 0.0 Bohr magnetons per cell
**Space group**: No. 221
**Energy of formation from the pure elements**: 2.009 eV/atom

=====

First-principles (PBEsol) data for an optimized crystal structure of K2MgB, as listed in Alexandria.

Structure (POSCAR):
```
K2MgB
1.0
-1.632 2.573 4.681
0.429 -2.612 4.918
3.799 1.682 3.733
Mg K B
1 2 1
direct
0.500 0.500 0.500
0.750 0.750 0.750
0.250 0.250 0.250
0.000 0.000 0.000
```

Calculated values
**Electronic total energy**: -1.58 eV per atom
**Magnetization**: 1.7 Bohr magnetons per cell
**Space group**: No. 225
**Energy of formation from the pure elements**: 1.170 eV/atom

=====

First-principles (PBEsol) data for an optimized crystal structure of K2MgTaB, as listed in Alexandria.

Structure (POSCAR):
```
K2MgTaB
1.0
-2.225 1.272 -3.208
-5.423 -3.053 2.551
-1.595 5.620 3.334
Mg Ta K B
1 1 2 1
direct
0.500 0.500 0.500
0.000 0.000 0.000
0.000 0.500 0.000
0.000 0.000 0.500
0.500 0.000 0.000
```

Calculated values
**Electronic total energy**: -3.29 eV per atom
**Magnetization**: 0.9 Bohr magnetons per cell
**Space group**: No. 123
**Energy of formation from the pure elements**: 1.424 eV/atom

=====

First-principles (PBEsol) data for an optimized crystal structure of K2MnB, as listed in Alexandria.

Structure (POSCAR):
```
K2MnB
1.0
3.965 0.000 0.000
1.983 8.483 0.000
1.983 0.000 8.483
Mn B K
2 2 4
direct
0.750 0.500 0.500
0.000 0.000 0.000
0.500 0.000 0.000
0.250 0.500 0.500
0.375 0.305 0.195
0.320 0.805 0.305
0.875 0.695 0.805
0.430 0.195 0.695
```

Calculated values
**Electronic total energy**: -3.90 eV per atom
**Magnetization**: 6.6 Bohr magnetons per cell
**Space group**: No. 122
**Energy of formation from the pure elements**: 0.863 eV/atom

=====

First-principles (PBEsol) data for an optimized crystal structure of KBTe2N, as listed in Alexandria.

Structure (POSCAR):
```
KBTe2N
1.0
-1.182 0.674 2.381
-5.828 -2.268 -2.251
1.416 -6.030 2.410
Te K N B
2 1 1 1
direct
0.000 0.000 0.500
0.000 0.500 0.000
0.500 0.500 0.500
0.500 0.000 0.000
0.000 0.000 0.000
```

Calculated values
**Electronic total energy**: -4.91 eV per atom
**Formation energy without anion corrections**: -168 meV/atom
**Magnetization**: 0.0 Bohr magnetons per cell
**Space group**: No. 123

=====

First-principles (PBEsol) data for an optimized crystal structure of KNaB3, as listed in Alexandria.

Structure (POSCAR):
```
KNaB3
1.0
4.701 0.000 0.000
0.000 4.701 0.000
0.000 0.000 4.701
K Na B
1 1 3
direct
0.500 0.500 0.500
0.000 0.000 0.000
0.000 0.000 0.500
0.500 0.000 0.000
0.000 0.500 0.000
```

Calculated values
**Electronic total energy**: -2.20 eV per atom
**Magnetization**: 0.0 Bohr magnetons per cell
**Space group**: No. 221
**Energy of formation from the pure elements**: 2.521 eV/atom

=====

First-principles (PBEsol) data for an optimized crystal structure of KNa2B2, as listed in Alexandria.

Structure (POSCAR):
```
KNa2B2
1.0
-1.861 1.629 0.071
-5.449 -6.324 2.206
1.633 1.504 8.344
Na B K
4 4 2
direct
0.000 0.377 0.877
0.000 0.123 0.377
0.000 0.623 0.123
0.000 0.877 0.623
0.500 0.327 0.173
0.500 0.827 0.327
0.500 0.673 0.827
0.500 0.173 0.673
0.000 0.500 0.500
0.000 0.000 0.000
```

Calculated values
**Electronic total energy**: -2.26 eV per atom
**Magnetization**: 0.0 Bohr magnetons per cell
**Space group**: No. 127
**Energy of formation from the pure elements**: 1.338 eV/atom

=====

First-principles (PBEsol) data for an optimized crystal structure of K2NaNbB, as listed in Alexandria.

Structure (POSCAR):
```
K2NaNbB
1.0
-5.358 2.428 -1.003
0.529 -1.460 -6.362
-2.834 -5.802 1.096
K Nb Na B
2 1 1 1
direct
0.000 0.500 0.000
0.000 0.000 0.500
0.000 0.000 0.000
0.500 0.000 0.000
0.500 0.500 0.500
```

Calculated values
**Electronic total energy**: -2.06 eV per atom
**Magnetization**: 7.0 Bohr magnetons per cell
**Space group**: No. 123
**Energy of formation from the pure elements**: 2.239 eV/atom

=====

First-principles (PBEsol) data for an optimized crystal structure of K3NaB12O20, as listed in Alexandria.

Structure (POSCAR):
```
K3NaB12O20
1.0
6.663 -0.011 0.005
-0.003 9.132 0.013
0.094 1.433 20.788
O B K Na
60 36 9 3
direct
0.340 0.078 0.118
0.100 0.534 0.751
0.393 0.687 0.755
0.901 0.608 0.341
0.374 0.295 0.869
0.914 0.212 0.291
0.209 0.082 0.322
0.089 0.788 0.715
0.806 0.893 0.067
0.597 0.611 0.840
0.711 0.650 0.536
0.807 0.127 0.599
0.223 0.608 0.152
0.496 0.032 0.645
0.899 0.461 0.250
0.301 0.075 0.818
0.201 0.354 0.963
0.766 0.529 0.936
0.650 0.921 0.876
0.407 0.229 0.568
0.052 0.266 0.543
0.775 0.383 0.848
0.410 0.781 0.213
0.882 0.709 0.630
0.329 0.112 0.431
0.899 0.772 0.932
0.681 0.930 0.175
0.601 0.469 0.748
0.715 0.383 0.350
0.602 0.772 0.435
0.446 0.264 0.037
0.414 0.526 0.249
0.301 0.353 0.467
0.732 0.529 0.439
0.301 0.876 0.902
0.616 0.706 0.126
0.997 0.029 0.138
0.789 0.648 0.033
0.091 0.228 0.063
0.201 0.878 0.405
0.155 0.082 0.625
0.893 0.315 0.745
0.804 0.927 0.682
0.232 0.468 0.062
0.689 0.129 0.093
0.959 0.733 0.459
0.992 0.968 0.855
0.544 0.735 0.957
0.275 0.472 0.564
0.513 0.971 0.359
0.117 0.293 0.377
0.280 0.619 0.652
0.852 0.931 0.385
0.611 0.305 0.245
0.587 0.215 0.785
0.174 0.111 0.926
0.101 0.391 0.660
0.120 0.670 0.258
0.412 0.384 0.157
0.683 0.893 0.573
0.003 0.847 0.416
0.423 0.196 0.823
0.651 0.889 0.394
0.291 0.488 0.124
0.783 0.505 0.377
0.531 0.586 0.779
0.249 0.251 0.920
0.310 0.010 0.379
0.738 0.752 0.074
0.256 0.330 0.536
0.032 0.416 0.721
0.973 0.576 0.280
0.754 0.671 0.467
0.357 0.117 0.612
0.138 0.114 0.105
0.194 0.007 0.875
0.792 0.997 0.118
0.006 0.159 0.590
0.758 0.754 0.578
0.217 0.496 0.625
0.715 0.348 0.783
0.077 0.196 0.329
0.491 0.158 0.084
0.782 0.342 0.286
0.712 0.506 0.875
0.217 0.655 0.717
0.746 0.672 0.964
0.700 0.996 0.625
0.927 0.807 0.676
0.478 0.408 0.220
0.250 0.249 0.426
0.245 0.328 0.031
0.566 0.806 0.172
0.291 0.644 0.216
0.851 0.885 0.888
0.499 0.844 0.911
0.188 0.772 0.031
0.178 0.592 0.878
0.824 0.412 0.119
0.312 0.775 0.533
0.684 0.412 0.621
0.700 0.225 0.470
0.802 0.224 0.966
0.322 0.590 0.380
0.971 0.927 0.259
0.511 0.936 0.755
0.481 0.062 0.246
0.011 0.066 0.746
```

Calculated values
**Electronic total energy**: -7.83 eV per atom
**Formation energy without anion corrections**: -2439 meV/atom
**Magnetization**: 0.0 Bohr magnetons per cell
**Space group**: No. 1

=====

First-principles (PBEsol) data for an optimized crystal structure of K2NaB9O15, as listed in Alexandria.

Structure (POSCAR):
```
K2NaB9O15
1.0
-1.104 -1.493 6.392
8.596 -2.688 0.857
4.041 19.655 5.288
Na B O K
4 36 60 8
direct
0.018 0.064 0.256
0.482 0.064 0.756
0.982 0.936 0.744
0.518 0.936 0.244
0.001 0.160 0.410
0.253 0.244 0.078
0.928 0.807 0.324
0.499 0.160 0.910
0.250 0.327 0.467
0.353 0.116 0.387
0.287 0.496 0.877
0.305 0.003 0.626
0.072 0.193 0.676
0.750 0.673 0.533
0.534 0.585 0.221
0.805 0.997 0.874
0.695 0.997 0.374
0.787 0.504 0.623
0.195 0.003 0.126
0.213 0.496 0.377
0.713 0.504 0.123
0.999 0.840 0.590
0.034 0.415 0.279
0.778 0.346 0.716
0.853 0.884 0.113
0.647 0.884 0.613
0.222 0.654 0.284
0.501 0.840 0.090
0.250 0.327 0.966
0.466 0.415 0.779
0.722 0.346 0.216
0.966 0.585 0.721
0.278 0.654 0.784
0.750 0.673 0.034
0.753 0.756 0.422
0.147 0.116 0.887
0.572 0.807 0.824
0.747 0.756 0.922
0.428 0.193 0.176
0.247 0.244 0.578
0.047 0.263 0.459
0.803 0.130 0.400
0.408 0.787 0.786
0.824 0.895 0.926
0.176 0.105 0.074
0.850 0.917 0.626
0.217 0.618 0.850
0.953 0.737 0.541
0.507 0.966 0.647
0.768 0.528 0.061
0.902 0.774 0.067
0.197 0.870 0.600
0.094 0.392 0.342
0.908 0.213 0.714
0.547 0.737 0.041
0.883 0.710 0.372
0.594 0.608 0.158
0.324 0.105 0.574
0.993 0.966 0.147
0.698 0.926 0.817
0.406 0.392 0.842
0.392 0.531 0.749
0.601 0.312 0.754
0.796 0.653 0.965
0.007 0.034 0.853
0.383 0.290 0.128
0.650 0.917 0.126
0.302 0.074 0.183
0.899 0.312 0.254
0.608 0.469 0.251
0.592 0.213 0.214
0.204 0.347 0.035
0.717 0.382 0.650
0.802 0.926 0.317
0.296 0.347 0.535
0.704 0.653 0.465
0.108 0.531 0.249
0.303 0.870 0.100
0.598 0.774 0.567
0.617 0.710 0.872
0.101 0.688 0.746
0.892 0.469 0.751
0.906 0.608 0.658
0.232 0.472 0.939
0.117 0.290 0.628
0.098 0.226 0.933
0.198 0.074 0.683
0.150 0.083 0.374
0.283 0.618 0.350
0.493 0.034 0.353
0.783 0.382 0.150
0.453 0.263 0.959
0.732 0.528 0.561
0.697 0.130 0.900
0.350 0.083 0.874
0.268 0.472 0.439
0.676 0.895 0.426
0.399 0.688 0.246
0.092 0.787 0.286
0.402 0.226 0.433
0.676 0.414 0.379
0.193 0.779 0.970
0.307 0.779 0.470
0.324 0.586 0.621
0.693 0.221 0.530
0.176 0.586 0.121
0.807 0.221 0.030
0.824 0.414 0.879
```

Calculated values
**Electronic total energy**: -7.83 eV per atom
**Formation energy without anion corrections**: -2439 meV/atom
**Magnetization**: 0.0 Bohr magnetons per cell
**Space group**: No. 14

=====

First-principles (PBEsol) data for an optimized crystal structure of KNaSr8B6O18, as listed in Alexandria.

Structure (POSCAR):
```
KNaSr8B6O18
1.0
-0.888 -6.804 0.483
5.682 2.952 2.580
-5.056 1.342 9.602
B O Sr Na K
6 18 8 1 1
direct
0.688 0.658 0.500
0.295 0.006 0.743
0.295 0.006 0.257
0.638 0.757 0.000
0.038 0.337 0.000
0.867 0.255 0.500
0.206 0.283 0.000
0.675 0.673 0.890
0.956 0.374 0.109
0.646 0.090 0.500
0.492 0.198 0.779
0.492 0.198 0.221
0.675 0.673 0.110
0.577 0.636 0.390
0.577 0.636 0.610
0.956 0.374 0.891
0.907 0.699 0.500
0.100 0.012 0.725
0.293 0.804 0.728
0.990 0.335 0.391
0.293 0.804 0.272
0.990 0.335 0.609
0.100 0.012 0.275
0.576 0.917 0.000
0.721 0.002 0.246
0.595 0.298 0.000
0.861 0.571 0.280
0.861 0.571 0.720
0.721 0.002 0.754
0.299 0.715 0.500
0.294 0.429 0.776
0.294 0.429 0.224
0.122 0.090 0.500
0.116 0.825 0.000
```

Calculated values
**Electronic total energy**: -7.31 eV per atom
**Formation energy without anion corrections**: -2781 meV/atom
**Magnetization**: 0.0 Bohr magnetons per cell
**Space group**: No. 6